A relaxed LaHoHg crystal, computed with GGA-PBE.

energy of formation from the pure elements	-90	kJ/mol of formula units
space-group type	I4mm (107)
density of states at the Fermi level	1.095	states/eV per atom

a = 6.981 Å, b = 6.981 Å, c = 6.981 Å
α = 148.98°, β = 148.98°, γ = 44.44°
Positions (direct):
1 La 0.000 0.000 0.000
2 Ho 0.695 0.695 0.000
3 Hg 0.327 0.327 0.000

***

A relaxed La5HoHg3 crystal, computed with GGA-PBE.

energy of formation from the pure elements	-259	kJ/mol of formula units
space-group type	P6_3/mcm (193)
density of states at the Fermi level	1.156	states/eV per atom

a = 9.518 Å, b = 9.518 Å, c = 7.077 Å
α = 90.00°, β = 90.00°, γ = 120.00°
Positions (direct):
1 La 0.000 0.338 0.250
2 La 0.000 0.662 0.750
3 La 0.333 0.667 0.000
4 La 0.333 0.667 0.500
5 La 0.338 0.000 0.250
6 La 0.338 0.338 0.750
7 La 0.662 0.000 0.750
8 La 0.662 0.662 0.250
9 La 0.667 0.333 0.000
10 La 0.667 0.333 0.500
11 Ho 0.000 0.000 0.000
12 Ho 0.000 0.000 0.500
13 Hg 0.000 0.322 0.750
14 Hg 0.000 0.678 0.250
15 Hg 0.322 0.000 0.750
16 Hg 0.322 0.322 0.250
17 Hg 0.678 0.000 0.250
18 Hg 0.678 0.678 0.750

***

A relaxed La3HoHg6 crystal, computed with GGA-PBE.

energy of formation from the pure elements	-436	kJ/mol of formula units
space-group type	P2_1/m (11)
density of states at the Fermi level	0.876	states/eV per atom

a = 9.579 Å, b = 5.270 Å, c = 11.465 Å
α = 90.00°, β = 107.49°, γ = 90.00°
Positions (direct):
1 La 0.011 0.250 0.381
2 La 0.149 0.750 0.224
3 La 0.275 0.250 0.989
4 La 0.725 0.750 0.011
5 La 0.851 0.250 0.776
6 La 0.989 0.750 0.619
7 Ho 0.443 0.250 0.594
8 Ho 0.557 0.750 0.406
9 Hg 0.030 0.750 0.920
10 Hg 0.178 0.250 0.694
11 Hg 0.269 0.750 0.516
12 Hg 0.353 0.750 0.824
13 Hg 0.364 0.250 0.306
14 Hg 0.444 0.750 0.126
15 Hg 0.556 0.250 0.874
16 Hg 0.636 0.750 0.694
17 Hg 0.647 0.250 0.176
18 Hg 0.731 0.250 0.484
19 Hg 0.822 0.750 0.306
20 Hg 0.970 0.250 0.080

***

A relaxed La5HoHg6 crystal, computed with GGA-PBE.

energy of formation from the pure elements	-568	kJ/mol of formula units
space-group type	P2/m (10)
density of states at the Fermi level	1.185	states/eV per atom

a = 5.452 Å, b = 7.791 Å, c = 8.671 Å
α = 90.00°, β = 108.26°, γ = 90.00°
Positions (direct):
1 La 0.000 0.000 0.000
2 La 0.329 0.000 0.658
3 La 0.333 0.500 0.666
4 La 0.667 0.500 0.334
5 La 0.671 0.000 0.342
6 Ho 0.000 0.500 0.000
7 Hg 0.160 0.258 0.320
8 Hg 0.160 0.742 0.320
9 Hg 0.500 0.262 0.000
10 Hg 0.500 0.738 0.000
11 Hg 0.840 0.258 0.680
12 Hg 0.840 0.742 0.680

***

A relaxed LaHo7Hg4 crystal, computed with GGA-PBE.

energy of formation from the pure elements	-117	kJ/mol of formula units
space-group type	C2/m (12)
density of states at the Fermi level	1.091	states/eV per atom

a = 7.849 Å, b = 7.849 Å, c = 9.695 Å
α = 119.86°, β = 119.86°, γ = 42.59°
Positions (direct):
1 La 0.000 0.000 0.000
2 Ho 0.067 0.067 0.407
3 Ho 0.208 0.208 0.883
4 Ho 0.271 0.271 0.320
5 Ho 0.500 0.500 0.000
6 Ho 0.729 0.729 0.680
7 Ho 0.792 0.792 0.117
8 Ho 0.933 0.933 0.593
9 Hg 0.310 0.310 0.663
10 Hg 0.454 0.454 0.274
11 Hg 0.546 0.546 0.726
12 Hg 0.690 0.690 0.337

***

A relaxed LaHoHg crystal, computed with GGA-PBE.

energy of formation from the pure elements	-64	kJ/mol of formula units
space-group type	P3m1 (156)
density of states at the Fermi level	1.265	states/eV per atom

a = 5.185 Å, b = 5.185 Å, c = 3.962 Å
α = 90.00°, β = 90.00°, γ = 120.00°
Positions (direct):
1 La 0.000 0.000 0.000
2 Ho 0.333 0.667 0.501
3 Hg 0.667 0.333 0.498

***

A relaxed La6Ho2Hg crystal, computed with GGA-PBE.

energy of formation from the pure elements	-83	kJ/mol of formula units
space-group type	P-62m (189)
density of states at the Fermi level	1.551	states/eV per atom

a = 9.814 Å, b = 9.814 Å, c = 3.703 Å
α = 90.00°, β = 90.00°, γ = 120.00°
Positions (direct):
1 La 0.000 0.374 0.000
2 La 0.000 0.721 0.500
3 La 0.279 0.279 0.500
4 La 0.374 0.000 0.000
5 La 0.626 0.626 0.000
6 La 0.721 0.000 0.500
7 Ho 0.333 0.667 0.500
8 Ho 0.667 0.333 0.500
9 Hg 0.000 0.000 0.000

***

A relaxed La4HoHg3 crystal, computed with GGA-PBE.

energy of formation from the pure elements	-254	kJ/mol of formula units
space-group type	Pmmm (47)
density of states at the Fermi level	1.422	states/eV per atom

a = 3.816 Å, b = 5.628 Å, c = 11.451 Å
α = 90.00°, β = 90.00°, γ = 90.00°
Positions (direct):
1 La 0.000 0.000 0.000
2 La 0.000 0.000 0.500
3 La 0.000 0.500 0.237
4 La 0.000 0.500 0.763
5 Ho 0.500 0.500 0.500
6 Hg 0.500 0.000 0.261
7 Hg 0.500 0.000 0.739
8 Hg 0.500 0.500 0.000

***

A relaxed La2Ho6Hg crystal, computed with GGA-PBE.

energy of formation from the pure elements	-12	kJ/mol of formula units
space-group type	Pnnm (58)
density of states at the Fermi level	1.362	states/eV per atom

a = 9.730 Å, b = 10.276 Å, c = 5.522 Å
α = 90.00°, β = 90.00°, γ = 90.00°
Positions (direct):
1 La 0.187 0.247 0.000
2 La 0.313 0.747 0.500
3 La 0.687 0.253 0.500
4 La 0.813 0.753 0.000
5 Ho 0.015 0.182 0.500
6 Ho 0.139 0.602 0.000
7 Ho 0.184 0.923 0.000
8 Ho 0.316 0.423 0.500
9 Ho 0.361 0.102 0.500
10 Ho 0.485 0.682 0.000
11 Ho 0.515 0.318 0.000
12 Ho 0.639 0.898 0.500
13 Ho 0.684 0.577 0.500
14 Ho 0.816 0.077 0.000
15 Ho 0.861 0.398 0.000
16 Ho 0.985 0.818 0.500
17 Hg 0.000 0.500 0.500
18 Hg 0.500 0.000 0.000

***

A relaxed La2HoHg8 crystal, computed with GGA-PBE.

energy of formation from the pure elements	-387	kJ/mol of formula units
space-group type	Immm (71)
density of states at the Fermi level	0.558	states/eV per atom

a = 8.680 Å, b = 8.680 Å, c = 8.680 Å
α = 144.66°, β = 128.52°, γ = 63.99°
Positions (direct):
1 La 0.198 0.198 0.000
2 La 0.802 0.802 0.000
3 Ho 0.500 0.500 0.000
4 Hg 0.071 0.363 0.708
5 Hg 0.219 0.000 0.219
6 Hg 0.344 0.844 0.500
7 Hg 0.345 0.637 0.708
8 Hg 0.655 0.363 0.292
9 Hg 0.656 0.156 0.500
10 Hg 0.781 0.000 0.781
11 Hg 0.929 0.637 0.292

***

A relaxed La3HoHg crystal, computed with GGA-PBE.

energy of formation from the pure elements	-41	kJ/mol of formula units
space-group type	C2/m (12)
density of states at the Fermi level	1.545	states/eV per atom

a = 11.562 Å, b = 11.562 Å, c = 8.374 Å
α = 105.36°, β = 105.36°, γ = 18.23°
Positions (direct):
1 La 0.014 0.014 0.249
2 La 0.175 0.175 0.457
3 La 0.379 0.379 0.965
4 La 0.621 0.621 0.035
5 La 0.825 0.825 0.543
6 La 0.986 0.986 0.751
7 Ho 0.262 0.262 0.175
8 Ho 0.738 0.738 0.825
9 Hg 0.416 0.416 0.385
10 Hg 0.584 0.584 0.615

***

A relaxed La3HoHg crystal, computed with GGA-PBE.

energy of formation from the pure elements	-48	kJ/mol of formula units
space-group type	Pmmn (59)
density of states at the Fermi level	1.686	states/eV per atom

a = 3.876 Å, b = 10.844 Å, c = 8.273 Å
α = 90.00°, β = 90.00°, γ = 90.00°
Positions (direct):
1 La 0.250 0.000 0.246
2 La 0.250 0.250 0.547
3 La 0.250 0.500 0.246
4 La 0.750 0.000 0.754
5 La 0.750 0.500 0.754
6 La 0.750 0.750 0.453
7 Ho 0.250 0.250 0.942
8 Ho 0.750 0.750 0.058
9 Hg 0.250 0.750 0.776
10 Hg 0.750 0.250 0.224

***

A relaxed LaHoHg crystal, computed with GGA-PBE.

energy of formation from the pure elements	-94	kJ/mol of formula units
space-group type	P4/nmm (129)
density of states at the Fermi level	0.645	states/eV per atom

a = 4.911 Å, b = 4.911 Å, c = 7.772 Å
α = 90.00°, β = 90.00°, γ = 90.00°
Positions (direct):
1 La 0.250 0.250 0.133
2 La 0.750 0.750 0.867
3 Ho 0.250 0.750 0.500
4 Ho 0.750 0.250 0.500
5 Hg 0.250 0.250 0.739
6 Hg 0.750 0.750 0.261

***

A relaxed La2Ho8Hg crystal, computed with GGA-PBE.

energy of formation from the pure elements	-23	kJ/mol of formula units
space-group type	C2/m (12)
density of states at the Fermi level	1.611	states/eV per atom

a = 9.789 Å, b = 9.789 Å, c = 6.823 Å
α = 93.98°, β = 93.98°, γ = 32.13°
Positions (direct):
1 La 0.221 0.221 0.166
2 La 0.779 0.779 0.834
3 Ho 0.035 0.035 0.250
4 Ho 0.159 0.159 0.671
5 Ho 0.346 0.346 0.593
6 Ho 0.412 0.412 0.086
7 Ho 0.588 0.588 0.914
8 Ho 0.654 0.654 0.407
9 Ho 0.841 0.841 0.329
10 Ho 0.965 0.965 0.750
11 Hg 0.500 0.500 0.500

***

A relaxed LaHo4Hg2 crystal, computed with GGA-PBE.

energy of formation from the pure elements	14	kJ/mol of formula units
space-group type	R-3m (166)
density of states at the Fermi level	1.360	states/eV per atom

a = 10.806 Å, b = 10.806 Å, c = 10.806 Å
α = 26.85°, β = 26.85°, γ = 26.85°
Positions (direct):
1 La 0.000 0.000 0.000
2 Ho 0.202 0.202 0.202
3 Ho 0.395 0.395 0.395
4 Ho 0.605 0.605 0.605
5 Ho 0.798 0.798 0.798
6 Hg 0.103 0.103 0.103
7 Hg 0.897 0.897 0.897

***

A relaxed LaHo5Hg4 crystal, computed with GGA-PBE.

energy of formation from the pure elements	-366	kJ/mol of formula units
space-group type	P4/mmm (123)
density of states at the Fermi level	1.138	states/eV per atom

a = 3.696 Å, b = 3.696 Å, c = 19.919 Å
α = 90.00°, β = 90.00°, γ = 90.00°
Positions (direct):
1 La 0.000 0.000 0.000
2 Ho 0.500 0.500 0.127
3 Ho 0.500 0.500 0.314
4 Ho 0.500 0.500 0.500
5 Ho 0.500 0.500 0.686
6 Ho 0.500 0.500 0.873
7 Hg 0.000 0.000 0.218
8 Hg 0.000 0.000 0.405
9 Hg 0.000 0.000 0.595
10 Hg 0.000 0.000 0.782

***

A relaxed La4HoHg crystal, computed with GGA-PBE.

energy of formation from the pure elements	125	kJ/mol of formula units
space-group type	P4/mmm (123)
density of states at the Fermi level	1.513	states/eV per atom

a = 5.455 Å, b = 5.455 Å, c = 7.661 Å
α = 90.00°, β = 90.00°, γ = 90.00°
Positions (direct):
1 La 0.000 0.500 0.243
2 La 0.000 0.500 0.757
3 La 0.500 0.000 0.243
4 La 0.500 0.000 0.757
5 Ho 0.000 0.000 0.500
6 Hg 0.500 0.500 0.000

***

A relaxed LaHo2Hg3 crystal, computed with GGA-PBE.

energy of formation from the pure elements	-281	kJ/mol of formula units
space-group type	P4/mmm (123)
density of states at the Fermi level	0.930	states/eV per atom

a = 3.744 Å, b = 3.744 Å, c = 11.493 Å
α = 90.00°, β = 90.00°, γ = 90.00°
Positions (direct):
1 La 0.000 0.000 0.000
2 Ho 0.000 0.000 0.340
3 Ho 0.000 0.000 0.660
4 Hg 0.500 0.500 0.188
5 Hg 0.500 0.500 0.500
6 Hg 0.500 0.500 0.812

***

A relaxed La2Ho2Hg3 crystal, computed with GGA-PBE.

energy of formation from the pure elements	-227	kJ/mol of formula units
space-group type	P-1 (2)
density of states at the Fermi level	1.397	states/eV per atom

a = 5.226 Å, b = 5.232 Å, c = 9.263 Å
α = 90.02°, β = 106.32°, γ = 119.96°
Positions (direct):
1 La 0.242 0.371 0.112
2 La 0.758 0.629 0.888
3 Ho 0.252 0.876 0.629
4 Ho 0.748 0.124 0.371
5 Hg 0.012 0.756 0.268
6 Hg 0.500 0.500 0.500
7 Hg 0.988 0.244 0.732

***

A relaxed La4HoHg5 crystal, computed with GGA-PBE.

energy of formation from the pure elements	-474	kJ/mol of formula units
space-group type	P4/mmm (123)
density of states at the Fermi level	1.167	states/eV per atom

a = 3.847 Å, b = 3.847 Å, c = 19.568 Å
α = 90.00°, β = 90.00°, γ = 90.00°
Positions (direct):
1 La 0.000 0.000 0.102
2 La 0.000 0.000 0.307
3 La 0.000 0.000 0.693
4 La 0.000 0.000 0.898
5 Ho 0.000 0.000 0.500
6 Hg 0.500 0.500 0.000
7 Hg 0.500 0.500 0.204
8 Hg 0.500 0.500 0.413
9 Hg 0.500 0.500 0.587
10 Hg 0.500 0.500 0.796

***

no.,energy (eV/cell)
1,-10.738
2,-65.618
3,-51.372
4,-36.911
5,-39.390
6,-10.471
7,-39.880
8,-27.824
9,-75.487
10,-20.855
11,-40.182
12,-40.319
13,-21.559
14,-47.020
15,-23.693
16,-32.816
17,-23.292
18,-17.897
19,-22.268
20,-30.714